No. 1
This record from the Alexandria database describes a relaxed structure of SiP2RuN. The functional is PBE.

## Properties
Energy above the lowest structure with this stoichiometry ... 207 meV per atom
Theoretical density ... 4.72 g/cm3
Magnetization ... 0.00 μB per cell
ΔE_f (raw) ... -0.12 eV/atom

Cell and atoms, written as CIF:
```
data_SiP2RuN
_chemical_formula_sum 'Si1 P2 Ru1 N1'
_cell_length_a 3.7118
_cell_length_b 4.5317
_cell_length_c 5.2748
_cell_angle_alpha 64.70
_cell_angle_beta 89.97
_cell_angle_gamma 66.79
_space_group_name_H-M_alt 'P 1'
_space_group_IT_number 1
_space_group_name_Hall 'P 1'
loop_
_atom_site_label
_atom_site_type_symbol
_atom_site_fract_x
_atom_site_fract_y
_atom_site_fract_z
_atom_site_occupancy
Si1 Si 0.0000 0.0000 0.0000 1
P1 P 0.3344 0.2011 0.1890 1
P2 P 0.6264 0.7850 0.6346 1
Ru1 Ru 0.3709 0.3243 0.7092 1
N1 N 0.2155 0.5491 0.2520 1
```


No. 2
This record from the Alexandria database describes a relaxed structure of ErZnGaHg. The functional is PBE.

## Properties
Theoretical density ... 10.10 g/cm3
Magnetization ... 0.00 μB per cell
DFT formation energy ... -292 meV/atom

Cell and atoms, written as CIF:
```
data_ErZnGaHg
_chemical_formula_sum 'Er4 Zn4 Ga4 Hg4'
_cell_length_a 6.9160
_cell_length_b 6.9160
_cell_length_c 6.9160
_cell_angle_alpha 90.00
_cell_angle_beta 90.00
_cell_angle_gamma 90.00
_space_group_name_H-M_alt 'F -4 3 m'
_space_group_IT_number 216
_space_group_name_Hall 'F -4 2 3'
loop_
_atom_site_label
_atom_site_type_symbol
_atom_site_fract_x
_atom_site_fract_y
_atom_site_fract_z
_atom_site_occupancy
Er1 Er 0.0000 0.0000 0.0000 1
Zn1 Zn 0.0000 0.0000 0.5000 1
Ga1 Ga 0.2500 0.2500 0.2500 1
Hg1 Hg 0.2500 0.2500 0.7500 1
```


No. 3
This record from the Alexandria database describes a relaxed structure of Mo3Pt. The functional is PBE.

## Properties
Energy above the lowest structure with this stoichiometry ... 35 meV per atom
Theoretical density ... 12.80 g/cm3
Magnetization ... 0.00 μB per cell
DFT formation energy ... -91 meV/atom

Cell and atoms, written as CIF:
```
data_Mo3Pt
_chemical_formula_sum 'Mo12 Pt4'
_cell_length_a 3.9671
_cell_length_b 3.9671
_cell_length_c 15.9261
_cell_angle_alpha 90.00
_cell_angle_beta 90.00
_cell_angle_gamma 90.00
_space_group_name_H-M_alt 'I 4/m m m'
_space_group_IT_number 139
_space_group_name_Hall '-I 4 2'
loop_
_atom_site_label
_atom_site_type_symbol
_atom_site_fract_x
_atom_site_fract_y
_atom_site_fract_z
_atom_site_occupancy
Mo1 Mo 0.0000 0.0000 0.1203 1
Mo2 Mo 0.0000 0.5000 0.0000 1
Mo3 Mo 0.0000 0.5000 0.2500 1
Pt1 Pt 0.0000 0.0000 0.3738 1
```


No. 4
This record from the Alexandria database describes a relaxed structure of Tb13Sm3. The functional is PBE.

## Properties
Energy above the lowest structure with this stoichiometry ... 0 meV per atom
Theoretical density ... 8.10 g/cm3
Magnetization ... 0.00 μB per cell
DFT formation energy ... 14 meV/atom

Cell and atoms, written as CIF:
```
data_Tb13Sm3
_chemical_formula_sum 'Tb26 Sm6'
_cell_length_a 10.0883
_cell_length_b 10.1133
_cell_length_c 10.1154
_cell_angle_alpha 90.00
_cell_angle_beta 90.00
_cell_angle_gamma 90.00
_space_group_name_H-M_alt 'A m m 2'
_space_group_IT_number 38
_space_group_name_Hall 'A 2 -2'
loop_
_atom_site_label
_atom_site_type_symbol
_atom_site_fract_x
_atom_site_fract_y
_atom_site_fract_z
_atom_site_occupancy
Tb1 Tb 0.0000 0.0000 0.0000 1
Tb2 Tb 0.0000 0.0000 0.4985 1
Tb3 Tb 0.0000 0.2495 0.2492 1
Tb4 Tb 0.2491 0.0000 0.2489 1
Tb5 Tb 0.2494 0.2504 0.4992 1
Tb6 Tb 0.5000 0.0000 0.0000 1
Tb7 Tb 0.5000 0.2490 0.2492 1
Sm1 Sm 0.2498 0.0000 0.7495 1
Sm2 Sm 0.5000 0.0000 0.4985 1
```